Computed, not measured: a relaxed structure of RbBrCl3 at the PBE-GGA level of DFT.

abc: 5.7085 5.7085 13.6141
angles: 90.00 90.00 120.00
Closest atoms and distances in Å follow each position.
Atoms (fractional coordinates):
Rb (0.0000, 0.0000, 0.0000)  8 Cl 3.40-3.45
Rb (0.0000, 0.0000, 0.5000)  8 Cl 3.40-3.45
Br (0.3333, 0.6667, 0.2500)  2 Cl 2.38
Br (0.6667, 0.3333, 0.7500)  2 Cl 2.38
Cl (0.0000, 0.0000, 0.2500)  3 Br 3.30, 2 Rb 3.40
Cl (0.0000, 0.0000, 0.7500)  3 Br 3.30, 2 Rb 3.40
Cl (0.3333, 0.6667, 0.0753)  1 Br 2.38
Cl (0.3333, 0.6667, 0.4247)  1 Br 2.38
Cl (0.6667, 0.3333, 0.5753)  1 Br 2.38
Cl (0.6667, 0.3333, 0.9247)  1 Br 2.38

Calculated values
Crystal system: hexagonal
Space-group type: No. 194

***

Computed, not measured: a relaxed structure of Rb2BrCl at the PBE-GGA level of DFT.

abc: 5.8061 5.8061 5.8061
angles: 60.00 60.00 60.00
Closest atoms and distances in Å follow each position.
Atoms (fractional coordinates):
Rb (0.2500, 0.2500, 0.2500)  4 Cl 3.56, 4 Br 3.56
Rb (0.7500, 0.7500, 0.7500)  4 Br 3.56, 4 Cl 3.56
Br (0.0000, 0.0000, 0.0000)  8 Rb 3.56
Cl (0.5000, 0.5000, 0.5000)  8 Rb 3.56

Calculated values
Crystal system: cubic
Space-group type: No. 225

***

We obtain energy relative to the elements, uncorrected values of -3.50; -7.13 eV per formula unit for the records listed above, in that order.